Compound: Hg
Source: Alexandria
Functional: meta-GGA SCAN
Structure: single point on PBEsol structure

Unit cell a=3.0380 b=5.2365 c=5.2365 alpha=120.00 beta=90.00 gamma=90.00
With the nearest neighbours (Å) after each atom.
Fractional coordinates of all 3 atoms:
Hg 0.5000 0.3333 0.6667  11 Hg 3.02-3.38
Hg 0.5000 0.6667 0.3333  11 Hg 3.02-3.38
Hg 0.0000 0.0000 0.0000  14 Hg 3.04-3.38

E (eV for the cell shown): -204.45
Total moment (μB/f.u.): 0.0
Theoretical density (g cm⁻³): 13.851
Formation energy (eV per atom): 0.02
SG: No. 191



Compound: Hg
Source: Alexandria
Functional: meta-GGA SCAN
Structure: single point on PBEsol structure

Unit cell a=5.8829 b=4.2944 c=5.2990 alpha=90.00 beta=90.00 gamma=133.23
With the nearest neighbours (Å) after each atom.
Fractional coordinates of all 4 atoms:
Hg 0.6249 0.2497 0.7500  8 Hg 2.94-3.13
Hg 0.3751 0.7503 0.2500  8 Hg 2.94-3.13
Hg 0.1249 0.2497 0.7500  8 Hg 2.94-3.13
Hg 0.8751 0.7503 0.2500  8 Hg 2.94-3.13

E (eV for the cell shown): -272.66
Total moment (μB/f.u.): 0.0
Theoretical density (g cm⁻³): 13.660
Formation energy (eV per atom): 0.00
SG: No. 65



Compound: Hg
Source: Alexandria
Functional: meta-GGA SCAN
Structure: single point on PBEsol structure

Unit cell a=3.1224 b=3.1224 c=5.9395 alpha=97.27 beta=97.27 gamma=121.23
With the nearest neighbours (Å) after each atom.
Fractional coordinates of all 2 atoms:
Hg 0.3714 0.3714 0.7428  9 Hg 2.95-3.18
Hg 0.6286 0.6286 0.2572  9 Hg 2.95-3.18

E (eV for the cell shown): -136.29
Total moment (μB/f.u.): 0.0
Theoretical density (g cm⁻³): 13.925
Formation energy (eV per atom): 0.02
SG: No. 69



Compound: Hg
Source: Alexandria
Functional: meta-GGA SCAN
Structure: single point on PBEsol structure

Unit cell a=3.0043 b=3.3927 c=3.0043 alpha=63.72 beta=90.00 gamma=116.28
With the nearest neighbours (Å) after each atom.
Fractional coordinates of all 1 atoms:
Hg 0.0000 0.0000 0.0000  4 Hg 3.00

E (eV for the cell shown): -68.15
Total moment (μB/f.u.): 0.0
Theoretical density (g cm⁻³): 13.951
Formation energy (eV per atom): 0.02
SG: No. 139



Compound: Hg
Source: Alexandria
Functional: meta-GGA SCAN
Structure: single point on PBEsol structure

Unit cell a=3.1383 b=3.1383 c=3.1383 alpha=74.53 beta=68.80 gamma=111.82
With the nearest neighbours (Å) after each atom.
Fractional coordinates of all 1 atoms:
Hg 0.0000 0.0000 0.0000  8 Hg 3.14

E (eV for the cell shown): -68.15
Total moment (μB/f.u.): 0.0
Theoretical density (g cm⁻³): 14.050
Formation energy (eV per atom): 0.02
SG: No. 71



Compound: Hg
Source: Alexandria
Functional: meta-GGA SCAN
Structure: single point on PBEsol structure

Unit cell a=6.6185 b=4.3890 c=5.1691 alpha=90.00 beta=90.00 gamma=108.78
With the nearest neighbours (Å) after each atom.
Fractional coordinates of all 6 atoms:
Hg 0.0000 0.0000 0.0000  8 Hg 3.01-3.32
Hg 0.0000 0.5000 0.5000  8 Hg 3.01-3.32
Hg 0.3333 0.1667 0.5000  8 Hg 3.01-3.32
Hg 0.6667 0.3333 0.0000  8 Hg 3.01-3.32
Hg 0.6667 0.8333 0.5000  8 Hg 3.01-3.32
Hg 0.3333 0.6667 0.0000  8 Hg 3.01-3.32

E (eV for the cell shown): -408.87
Total moment (μB/f.u.): 0.0
Theoretical density (g cm⁻³): 14.058
Formation energy (eV per atom): 0.02
SG: No. 12



Compound: Hg
Source: Alexandria
Functional: meta-GGA SCAN
Structure: single point on PBEsol structure

Unit cell a=3.0005 b=3.0005 c=3.0005 alpha=72.40 beta=72.40 gamma=72.40
With the nearest neighbours (Å) after each atom.
Fractional coordinates of all 1 atoms:
Hg 0.5000 0.5000 0.5000  6 Hg 3.00

E (eV for the cell shown): -68.14
Total moment (μB/f.u.): 0.0
Theoretical density (g cm⁻³): 13.953
Formation energy (eV per atom): 0.02
SG: No. 166



Compound: Hg
Source: Alexandria
Functional: meta-GGA SCAN
Structure: single point on PBEsol structure

Unit cell a=3.1655 b=3.1655 c=7.8730 alpha=92.60 beta=102.24 gamma=111.10
With the nearest neighbours (Å) after each atom.
Fractional coordinates of all 3 atoms:
Hg 0.0000 0.0000 0.0000  10 Hg 3.13-3.38
Hg 0.6451 0.6879 0.3330  9 Hg 3.11-3.38
Hg 0.3549 0.3121 0.6670  9 Hg 3.11-3.38

E (eV for the cell shown): -204.44
Total moment (μB/f.u.): 0.0
Theoretical density (g cm⁻³): 14.018
Formation energy (eV per atom): 0.02
SG: No. 12



Compound: Hg
Source: Alexandria
Functional: meta-GGA SCAN
Structure: single point on PBEsol structure

Unit cell a=4.6675 b=4.6675 c=4.6675 alpha=60.00 beta=60.00 gamma=60.00
With the nearest neighbours (Å) after each atom.
Fractional coordinates of all 2 atoms:
Hg 0.2500 0.2500 0.2500  4 Hg 2.86
Hg 0.0000 0.0000 0.0000  4 Hg 2.86

E (eV for the cell shown): -136.00
Total moment (μB/f.u.): 0.0
Theoretical density (g cm⁻³): 9.265
Formation energy (eV per atom): 0.17
SG: No. 227



Compound: Hg
Source: Alexandria
Functional: meta-GGA SCAN
Structure: single point on PBEsol structure

Unit cell a=3.2400 b=3.2400 c=5.1910 alpha=90.00 beta=90.00 gamma=120.00
With the nearest neighbours (Å) after each atom.
Fractional coordinates of all 2 atoms:
Hg 0.3333 0.6667 0.2500  12 Hg 3.20-3.24
Hg 0.6667 0.3333 0.7500  12 Hg 3.20-3.24

E (eV for the cell shown): -136.26
Total moment (μB/f.u.): 0.0
Theoretical density (g cm⁻³): 14.116
Formation energy (eV per atom): 0.04
SG: No. 194



Compound: Ho3Hg
Source: Alexandria
Functional: meta-GGA SCAN
Structure: single point on PBEsol structure

Unit cell a=4.6777 b=4.6777 c=4.6777 alpha=90.00 beta=90.00 gamma=90.00
With the nearest neighbours (Å) after each atom.
Fractional coordinates of all 4 atoms:
Hg 0.5000 0.5000 0.5000  12 Ho 3.31
Ho 0.5000 0.0000 0.0000  4 Hg 3.31, 8 Ho 3.31
Ho 0.0000 0.5000 0.0000  8 Ho 3.31, 4 Hg 3.31
Ho 0.0000 0.0000 0.5000  4 Hg 3.31, 8 Ho 3.31

E (eV for the cell shown): -216.36
Total moment (μB/f.u.): 0.9
Theoretical density (g cm⁻³): 11.282
Formation energy (eV per atom): -0.31
SG: No. 221



Compound: HoHg
Source: Alexandria
Functional: meta-GGA SCAN
Structure: single point on PBEsol structure

Unit cell a=3.6367 b=3.6367 c=3.6367 alpha=90.00 beta=90.00 gamma=90.00
With the nearest neighbours (Å) after each atom.
Fractional coordinates of all 2 atoms:
Hg 0.0000 0.0000 0.0000  8 Ho 3.15
Ho 0.5000 0.5000 0.5000  8 Hg 3.15

E (eV for the cell shown): -118.57
Total moment (μB/f.u.): 0.0
Theoretical density (g cm⁻³): 12.619
Formation energy (eV per atom): -0.71
SG: No. 221



Compound: LiHoHg2
Source: Alexandria
Functional: meta-GGA SCAN
Structure: single point on PBEsol structure

Unit cell a=4.9141 b=4.9141 c=4.9141 alpha=60.00 beta=60.00 gamma=60.00
With the nearest neighbours (Å) after each atom.
Fractional coordinates of all 4 atoms:
Ho 0.5000 0.5000 0.5000  8 Hg 3.01
Hg 0.2500 0.2500 0.2500  4 Li 3.01, 4 Ho 3.01
Hg 0.7500 0.7500 0.7500  4 Li 3.01, 4 Ho 3.01
Li 0.0000 0.0000 0.0000  8 Hg 3.01

E (eV for the cell shown): -190.14
Total moment (μB/f.u.): 0.0
Theoretical density (g cm⁻³): 11.340
Formation energy (eV per atom): -0.61
SG: No. 225



Compound: HoMgHg2
Source: Alexandria
Functional: meta-GGA SCAN
Structure: single point on PBEsol structure

Unit cell a=4.9744 b=4.9744 c=4.9744 alpha=60.00 beta=60.00 gamma=60.00
With the nearest neighbours (Å) after each atom.
Fractional coordinates of all 4 atoms:
Mg 0.0000 0.0000 0.0000  8 Hg 3.05
Hg 0.2500 0.2500 0.2500  4 Mg 3.05, 4 Ho 3.05
Hg 0.7500 0.7500 0.7500  4 Ho 3.05, 4 Mg 3.05
Ho 0.5000 0.5000 0.5000  8 Hg 3.05

E (eV for the cell shown): -192.89
Total moment (μB/f.u.): 0.0
Theoretical density (g cm⁻³): 11.264
Formation energy (eV per atom): -0.65
SG: No. 225



Compound: Ho2HgOs
Source: Alexandria
Functional: meta-GGA SCAN
Structure: single point on PBEsol structure

Unit cell a=4.9098 b=4.9098 c=4.9098 alpha=60.00 beta=60.00 gamma=60.00
With the nearest neighbours (Å) after each atom.
Fractional coordinates of all 4 atoms:
Ho 0.2500 0.2500 0.2500  4 Os 3.01, 4 Hg 3.01
Ho 0.7500 0.7500 0.7500  4 Hg 3.01, 4 Os 3.01
Hg 0.5000 0.5000 0.5000  8 Ho 3.01
Os 0.0000 0.0000 0.0000  8 Ho 3.01

E (eV for the cell shown): -239.94
Total moment (μB/f.u.): 0.0
Theoretical density (g cm⁻³): 14.299
Formation energy (eV per atom): -0.48
SG: No. 225



no.,N(E_F) (states/eV per cell)
1,0.53
2,1.16
3,0.60
4,0.21
5,0.14
6,1.62
7,0.34
8,0.55
9,1.02
10,0.63
11,4.05
12,1.25
13,2.23
14,1.01
15,1.74